Entry from Alexandria: a geometry-optimized Cd2PtAu structure (PBE-GGA).

The structure in POSCAR format:
```
Cd2PtAu
1.0
5.596 -2.497 -4.102
-2.249 5.700 4.102
-4.147 0.984 6.017
Au Cd Pt
1 2 1
direct
0.000 0.500 0.500
0.000 0.801 0.801
0.000 0.199 0.199
0.000 0.000 0.000
```

Calculated values
**Crystal system**: orthorhombic
**Total magnetic moment**: 0.00 μB per formula unit
**Total energy**: -2.74 eV/atom
**Space-group type**: Immm
**Energy of formation**: 0.044 eV/atom


Entry from Alexandria: a geometry-optimized Nd3Ho2In2 structure (PBE-GGA).

The structure in POSCAR format:
```
Nd3Ho2In2
1.0
-2.627 -0.240 -2.334
-4.654 -3.438 5.591
1.193 8.645 0.425
Ho In Nd
2 2 3
direct
0.872 0.713 0.743
0.128 0.287 0.257
0.567 0.901 0.134
0.433 0.099 0.866
0.790 0.213 0.579
0.210 0.787 0.421
0.000 0.500 0.000
```

Calculated values
**Crystal system**: monoclinic
**E above lowest polymorph**: 39.7 meV per atom
**Total magnetic moment**: 0.00 μB per formula unit
**Total energy**: -4.26 eV/atom
**Space-group type**: C2/m
**Energy of formation**: -0.124 eV/atom